No. 1
Nd8Mg2Zn after structural relaxation. Source: Alexandria via LeMat-Bulk, functional PBE.

abc: 5.4725 7.0965 9.6822
angles: 104.65 106.42 90.00
Fractional positions:
Nd  0.4071  0.5512  0.8141
Nd  0.6571  0.9550  0.3143
Nd  0.8041  0.7229  0.6083
Nd  0.9811  0.2308  0.9622
Nd  0.1959  0.2771  0.3917
Nd  0.3429  0.0450  0.6857
Nd  0.5929  0.4488  0.1859
Nd  0.0189  0.7692  0.0378
Mg  0.8123  0.2809  0.6246
Mg  0.1877  0.7191  0.3754
Zn  0.5000  0.0000  0.0000

magnetization: 0.00 μB/atom
N(E_F): 12.41 states/eV/cell
formation enthalpy at 0 K: -0.14 eV per formula unit

---

No. 2
Nd2MgZn5 after structural relaxation. Source: Alexandria via LeMat-Bulk, functional PBE.

abc: 4.4416 8.6357 9.1643
angles: 90.00 90.00 104.90
Fractional positions:
Nd  0.7948  0.5896  0.7500
Nd  0.2052  0.4104  0.2500
Nd  0.0000  0.0000  0.0000
Nd  0.0000  0.0000  0.5000
Mg  0.4445  0.8890  0.7500
Mg  0.5555  0.1110  0.2500
Zn  0.1851  0.3702  0.8917
Zn  0.8149  0.6298  0.1083
Zn  0.1851  0.3702  0.6083
Zn  0.8149  0.6298  0.3917
Zn  0.3475  0.6950  0.9828
Zn  0.6525  0.3050  0.0172
Zn  0.3475  0.6950  0.5172
Zn  0.6525  0.3050  0.4828
Zn  0.6040  0.2079  0.7500
Zn  0.3960  0.7921  0.2500

magnetization: 0.00 μB/atom
N(E_F): 10.28 states/eV/cell
formation enthalpy at 0 K: -2.02 eV per formula unit

---

No. 3
NdMg2Zn4 after structural relaxation. Source: Alexandria via LeMat-Bulk, functional PBE.

abc: 5.5674 5.6626 5.6626
angles: 76.02 60.55 60.55
Fractional positions:
Nd  0.0000  0.0000  0.0000
Mg  0.7500  0.5000  0.5000
Mg  0.2500  0.5000  0.5000
Zn  0.6885  0.0000  0.6231
Zn  0.3115  0.0000  0.3769
Zn  0.3115  0.3769  0.0000
Zn  0.6885  0.6231  0.0000

magnetization: 0.00 μB/atom
N(E_F): 2.28 states/eV/cell
formation enthalpy at 0 K: -1.60 eV per formula unit

---

No. 4
Nd2MgZn9 after structural relaxation. Source: Alexandria via LeMat-Bulk, functional PBE.

abc: 5.5314 5.5314 9.1815
angles: 72.47 72.47 60.00
Fractional positions:
Nd  0.8605  0.8605  0.4185
Nd  0.1395  0.1395  0.5815
Mg  0.0000  0.0000  0.0000
Zn  0.6654  0.6654  0.0038
Zn  0.3346  0.3346  0.9962
Zn  0.5000  0.5000  0.5000
Zn  0.4169  0.4169  0.2437
Zn  0.9224  0.4169  0.2437
Zn  0.4169  0.9224  0.2437
Zn  0.5831  0.5831  0.7563
Zn  0.5831  0.0776  0.7563
Zn  0.0776  0.5831  0.7563

magnetization: 0.00 μB/atom
N(E_F): 6.86 states/eV/cell
formation enthalpy at 0 K: -1.89 eV per formula unit

---

No. 5
NdMg2Zn2 after structural relaxation. Source: Alexandria via LeMat-Bulk, functional PBE.

abc: 4.2960 4.2960 6.7778
angles: 108.48 108.48 90.00
Fractional positions:
Nd  0.0000  0.0000  0.0000
Mg  0.7500  0.2500  0.5000
Mg  0.2500  0.7500  0.5000
Zn  0.6028  0.6028  0.2055
Zn  0.3972  0.3972  0.7945

magnetization: 0.00 μB/atom
N(E_F): 3.30 states/eV/cell
formation enthalpy at 0 K: -1.16 eV per formula unit
ΔE to the lowest computed polymorph: 0.000 eV/atom

---

No. 6
Nd3Mg5Zn2 after structural relaxation. Source: Alexandria via LeMat-Bulk, functional PBE.

abc: 6.4079 9.5691 9.5691
angles: 81.05 70.44 70.44
Fractional positions:
Nd  0.2500  0.0000  0.0000
Nd  0.7500  0.0000  0.0000
Nd  0.3563  0.3852  0.9021
Nd  0.6437  0.6148  0.0979
Nd  0.8563  0.9021  0.3852
Nd  0.1437  0.0979  0.6148
Mg  0.2500  0.5000  0.5000
Mg  0.7500  0.5000  0.5000
Mg  0.5134  0.7366  0.7366
Mg  0.9866  0.2634  0.2634
Mg  0.4866  0.2634  0.2634
Mg  0.0134  0.7366  0.7366
Mg  0.1007  0.5641  0.2345
Mg  0.8993  0.4359  0.7655
Mg  0.6007  0.2345  0.5641
Mg  0.3993  0.7655  0.4359
Zn  0.1501  0.7142  0.9856
Zn  0.8499  0.2858  0.0144
Zn  0.6501  0.9856  0.7142
Zn  0.3499  0.0144  0.2858

magnetization: 0.00 μB/atom
N(E_F): 13.87 states/eV/cell
formation enthalpy at 0 K: -0.58 eV per formula unit